CaZn5CdAg2 PBE relaxed; crystal system = tetragonal; energy of formation = 0.086 eV per atom; Fermi-level density of states = 2.26 states/eV/cell; calculated total energy = -14.2 eV per cell
1.0
4.872 0.000 0.000
0.000 4.872 0.000
0.000 0.000 7.741
Ca Zn Cd Ag
1 5 1 2
Cartesian
0.000 0.000 3.871 Ca
0.000 2.436 1.986 Zn
2.436 0.000 1.986 Zn
0.000 2.436 5.755 Zn
2.436 0.000 5.755 Zn
2.436 2.436 3.871 Zn
0.000 0.000 0.000 Cd
2.436 2.436 1.309 Ag
2.436 2.436 6.432 Ag